1.
## PmHg6 (PBE-GGA)

Data for PmHg6 after structural relaxation.

Values from the calculation:
magnetic moment = 0.0 Bohr magnetons per cell
energy above the most stable polymorph in this dataset = 595 meV per atom
energy of formation from the pure elements = 0.40 eV per atom
DOS(E_F) = 0.937 states/eV/atom
symmetry = Im-3m

Lattice parameters (Å, degrees): 6.825 6.825 6.825 109.47 109.47 109.47
Positions (direct):
Hg 0.250 0.500 0.750
Hg 0.750 0.500 0.250
Hg 0.500 0.750 0.250
Hg 0.500 0.250 0.750
Hg 0.750 0.250 0.500
Hg 0.250 0.750 0.500
Pm 0.000 0.000 0.000

---

2.
## Ba2SrScV (PBE-GGA)

Data for Ba2SrScV after structural relaxation.

Values from the calculation:
magnetic moment = 0.0 Bohr magnetons per cell
energy above the most stable polymorph in this dataset = 158 meV per atom
energy of formation from the pure elements = 1.03 eV per atom
DOS(E_F) = 2.050 states/eV/atom
symmetry = P4/mmm

Lattice parameters (Å, degrees): 5.928 5.949 5.928 90.00 90.00 90.00
Positions (direct):
Sr 0.000 0.500 0.000
V 0.000 0.000 0.000
Ba 0.500 0.000 0.000
Ba 0.000 0.000 0.500
Sc 0.500 0.500 0.500